# LiSbPdRh

LiSbPdRh after structural relaxation (PBE-GGA, Alexandria via LeMat-Bulk).

```
LiSbPdRh
1.0
-2.138 -0.711 -3.820
0.576 -3.815 -2.187
-3.288 -2.971 -0.181
Sb Rh Pd Li
1 1 1 1
direct
0.500 0.500 0.500
0.750 0.750 0.750
0.250 0.250 0.250
0.000 0.000 0.000
```

Results
- uncorrected formation energy (eV/atom) = -0.57
- density of states at the Fermi level (states/eV/f.u.) = 3.1